(1)
A geometry-optimized La2Cd2Pd15 structure, computed with PBE-GGA.

Lattice parameters (Å, degrees): 7.065 7.065 7.065 81.59 81.59 81.59
Positions (direct):
Pd 0.842 0.348 0.348
Pd 0.500 0.000 0.000
Pd 0.652 0.652 0.158
Pd 0.694 0.306 0.000
Pd 0.158 0.652 0.652
Pd 0.000 0.500 0.000
Pd 0.000 0.000 0.500
Pd 0.348 0.348 0.842
Pd 0.000 0.694 0.306
Pd 0.306 0.694 0.000
Pd 0.652 0.158 0.652
Pd 0.306 0.000 0.694
Pd 0.000 0.306 0.694
Pd 0.348 0.842 0.348
Pd 0.694 0.000 0.306
La 0.652 0.652 0.652
La 0.348 0.348 0.348
Cd 0.901 0.901 0.901
Cd 0.099 0.099 0.099

## Properties
calculated volume = 18.02 Å³ per atom
space group = R-3m, No. 166
total magnetic moment = 0.0 μB per formula unit
energy relative to the elements = -7.99 eV per formula unit


(2)
A geometry-optimized GeMo3Rh structure, computed with PBE-GGA.

Lattice parameters (Å, degrees): 4.717 4.717 4.717 90.00 90.00 90.00
Each line ends with the local moment (μB).
Positions (direct):
Mo 0.000 0.000 0.500  0.67
Mo 0.000 0.500 0.000  0.55
Mo 0.500 0.000 0.000  0.69
Rh 0.000 0.000 0.000  -0.03
Ge 0.500 0.500 0.500  -0.02

## Properties
calculated volume = 20.99 Å³ per atom
distance to the lowest polymorph of the same formula = 0.231 eV per atom
space group = Pm-3m, No. 221
total magnetic moment = 2.1 μB per formula unit
energy relative to the elements = 8.29 eV per formula unit


(3)
A geometry-optimized Pm2NdSmIn4 structure, computed with PBE-GGA.

Lattice parameters (Å, degrees): 5.443 5.443 9.437 73.24 73.24 60.00
Positions (direct):
In 0.376 0.376 0.873
In 0.875 0.875 0.376
In 0.624 0.624 0.127
In 0.125 0.125 0.624
Pm 0.250 0.250 0.250
Pm 0.750 0.750 0.750
Sm 0.500 0.500 0.500
Nd 0.000 0.000 0.000

## Properties
calculated volume = 28.54 Å³ per atom
space group = R-3m, No. 166
total magnetic moment = 0.0 μB per formula unit
energy relative to the elements = -3.96 eV per formula unit


(4)
A geometry-optimized SiMoW structure, computed with PBE-GGA.

Lattice parameters (Å, degrees): 4.411 4.411 2.742 90.00 90.00 120.00
Positions (direct):
W 0.333 0.667 0.574
Si 0.667 0.333 0.511
Mo 0.000 0.000 0.915

## Properties
calculated volume = 15.40 Å³ per atom
distance to the lowest polymorph of the same formula = 0.146 eV per atom
formation energy (no corrections) = 0.069 eV per atom
space group = P3m1, No. 156
total magnetic moment = 0.0 μB per formula unit


(5)
A geometry-optimized K2ZnF structure, computed with PBE-GGA.

Lattice parameters (Å, degrees): 3.735 7.091 9.482 106.99 90.32 104.44
Positions (direct):
F 0.359 0.230 0.088
F 0.641 0.770 0.912
K 0.186 0.859 0.118
K 0.933 0.381 0.291
K 0.067 0.619 0.709
K 0.814 0.141 0.882
Zn 0.315 0.134 0.537
Zn 0.685 0.866 0.463

## Properties
calculated volume = 28.97 Å³ per atom
distance to the lowest polymorph of the same formula = 0.003 eV per atom
formation energy (no corrections) = -1.267 eV per atom
space group = P-1, No. 2
total magnetic moment = 0.0 μB per formula unit


(6)
A geometry-optimized Pr8Zn3AuI4 structure, computed with PBE-GGA.

Lattice parameters (Å, degrees): 8.618 9.359 8.618 117.42 120.00 90.00
Positions (direct):
Pr 0.761 0.284 0.022
Pr 0.259 0.278 0.519
Pr 0.261 0.284 0.022
Pr 0.239 0.716 0.478
Pr 0.739 0.716 0.978
Pr 0.741 0.722 0.481
Pr 0.239 0.716 0.978
Pr 0.761 0.284 0.522
I 0.500 0.000 0.500
I 0.500 0.000 0.000
I 0.000 0.000 0.000
I 0.000 0.000 0.500
Zn 0.000 0.500 0.500
Zn 0.500 0.500 0.000
Zn 0.500 0.500 0.500
Au 0.000 0.500 0.000

## Properties
calculated volume = 31.87 Å³ per atom
formation energy (no corrections) = -0.626 eV per atom
space group = R-3m, No. 166
total magnetic moment = 0.0 μB per formula unit